Compound: Ag2PtCl6
Source: the Alexandria database
Functional: PBE
Structure: relaxed

Calculated values
For the energy relative to the elements, uncorrected, the calculation gives -0.447 eV/atom. As for the total DFT energy (no corrections): -2.983 eV per atom. As for the spin magnetization: 0.000 μB/atom.

POSCAR file:
```
Ag2PtCl6
1.0
6.1368 0.0000 0.0000
0.0000 6.1368 0.0000
0.0000 0.0000 11.6285
Ag Pt Cl
4 2 12
Cartesian
0.0000 0.0000 1.8551
0.0000 0.0000 9.7734
3.0684 3.0684 3.9592
3.0684 3.0684 7.6693
0.0000 0.0000 5.8143
3.0684 3.0684 0.0000
1.1359 1.1359 4.0805
1.1359 1.1359 7.5480
1.3804 1.3804 0.0000
1.6881 4.4488 5.8143
1.9325 4.2043 1.7337
1.9325 4.2043 9.8948
4.2043 1.9325 1.7337
4.2043 1.9325 9.8948
4.4488 1.6881 5.8143
4.7565 4.7565 0.0000
5.0009 5.0009 4.0805
5.0009 5.0009 7.5480
```